No. 1
The following is a PBE calculation of Y2ZrGa after structural relaxation, from Alexandria via LeMat-Bulk.

- formation energy (eV per atom) = -0.194
- M_tot (μB per atom) = 0.0000
- crystal system = tetragonal

```
data_Y2ZrGa
_cell_length_a 4.609
_cell_length_b 4.609
_cell_length_c 4.574
_cell_angle_alpha 90.00
_cell_angle_beta 90.00
_cell_angle_gamma 90.00
_space_group_name_H-M_alt 'P 4/m m m'
_space_group_IT_number 123
_space_group_name_Hall '-P 4 2'
loop_
_atom_site_label
_atom_site_type_symbol
_atom_site_fract_x
_atom_site_fract_y
_atom_site_fract_z
Y1 Y 0.000 0.500 0.000
Zr1 Zr 0.000 0.000 0.500
Ga1 Ga 0.500 0.500 0.500
```

No. 2
The following is a PBE calculation of NaVCd after structural relaxation, from Alexandria via LeMat-Bulk.

- formation energy (eV per atom) = 0.197
- M_tot (μB per atom) = 0.0000
- crystal system = monoclinic

```
data_NaVCd
_cell_length_a 4.759
_cell_length_b 3.345
_cell_length_c 15.214
_cell_angle_alpha 90.00
_cell_angle_beta 90.26
_cell_angle_gamma 90.00
_space_group_name_H-M_alt 'C 1 2/m 1'
_space_group_IT_number 12
loop_
_space_group_symop_operation_xyz
'x,y,z'
'-x,-y,-z'
'-x,y,-z'
'x,-y,z'
'x+1/2,y+1/2,z'
'-x+1/2,-y+1/2,-z'
'-x+1/2,y+1/2,-z'
'x+1/2,-y+1/2,z'
loop_
_atom_site_label
_atom_site_type_symbol
_atom_site_fract_x
_atom_site_fract_y
_atom_site_fract_z
Na1 Na 0.235 0.000 0.104
V1 V 0.249 0.000 0.444
Cd1 Cd 0.245 0.500 0.289
```

No. 3
The following is a PBE calculation of ThMnCo3 after structural relaxation, from Alexandria via LeMat-Bulk.

- formation energy (eV per atom) = -0.002
- M_tot (μB per atom) = 1.1101
- crystal system = orthorhombic

```
data_ThMnCo3
_cell_length_a 4.728
_cell_length_b 8.250
_cell_length_c 8.272
_cell_angle_alpha 90.00
_cell_angle_beta 90.00
_cell_angle_gamma 90.00
_space_group_name_H-M_alt 'I m m a'
_space_group_IT_number 74
_space_group_name_Hall '-I 2b 2'
loop_
_atom_site_label
_atom_site_type_symbol
_atom_site_fract_x
_atom_site_fract_y
_atom_site_fract_z
Th1 Th 0.000 0.250 0.051
Mn1 Mn 0.000 0.000 0.500
Co1 Co 0.000 0.250 0.679
Co2 Co 0.250 0.007 0.750
```

No. 4
The following is a PBE calculation of K4La3US8 after structural relaxation, from Alexandria via LeMat-Bulk.

- formation energy without anion corrections (eV/atom) = -1.77
- M_tot (μB per atom) = 0.1883
- crystal system = trigonal

```
data_K4La3US8
_cell_length_a 8.4924
_cell_length_b 8.4924
_cell_length_c 22.1172
_cell_angle_alpha 90.00
_cell_angle_beta 90.00
_cell_angle_gamma 120.00
_space_group_name_H-M_alt 'R -3 m'
_space_group_IT_number 166
_space_group_name_Hall '-R 3 2"'
loop_
_atom_site_label
_atom_site_type_symbol
_atom_site_fract_x
_atom_site_fract_y
_atom_site_fract_z
K1 K 0.0000 0.0000 0.0000
K2 K 0.0000 0.5000 0.0000
La1 La 0.0000 0.5000 0.5000
U1 U 0.0000 0.0000 0.5000
S1 S 0.0000 0.0000 0.2367
S2 S 0.0106 0.5053 0.2352
```